1.
TlIn2Br after structural relaxation. Source: the Alexandria database, functional PBE-GGA.

Unit cell a=6.6290 b=6.6290 c=6.6290 alpha=139.03 beta=139.03 gamma=59.33
Element x y z (fractional)
Br 0.7500 0.2500 0.5000
In 0.5000 0.5000 0.0000
In 0.0000 0.0000 0.0000
Tl 0.2500 0.7500 0.5000

Summary:
DFT total energy: -0.18994 Ry/atom
total magnetization: 0.00 μB per formula unit
formation energy without anion corrections: -0.21 eV per atom

2.
Ce2SmH8 after structural relaxation. Source: the Alexandria database, functional PBE-GGA.

Unit cell a=3.8547 b=5.2620 c=6.6431 alpha=113.33 beta=106.87 gamma=90.00
Last column: magnetic moment on the atom in μB.
Element x y z (fractional)
H 0.8293 0.8293 0.6586  -0.01
H 0.6577 0.8988 0.3154  0.00
H 0.1707 0.1707 0.3414  -0.01
H 0.0000 0.7385 0.0000  0.00
H 0.0000 0.2615 0.0000  0.00
H 0.3423 0.1012 0.6846  0.00
Sm 0.5000 0.0000 0.0000  0.02
Ce 0.1716 0.6716 0.3432  0.83
H 0.6577 0.4166 0.3154  0.00
Ce 0.8284 0.3284 0.6568  0.83
H 0.3423 0.5834 0.6846  0.00

Summary:
DFT total energy: -0.33044 Ry/atom
total magnetization: 1.90 μB per formula unit